# TiMoOsO2

A relaxed structure of TiMoOsO2 (PBE+U, the Alexandria database).

## Properties
As for the space group: P4/mmm. The calculation puts the total energy at -7.17 eV/atom. For the density of states at the Fermi level, the calculation gives 1.98 states/eV/cell. Its volume is 17.4 Å³/atom.

Cell lengths 3.761, 6.134, 3.761 Å; angles 90.00, 90.00, 90.00 degrees
Element x y z (fractional)
Os (0.500, 0.500, 0.500)
Mo (0.000, 0.000, 0.000)
Ti (0.000, 0.500, 0.000)
O (0.500, 0.000, 0.000)
O (0.000, 0.000, 0.500)